Entry 1:
The following is a DFT calculation (PBE) of a relaxed structure of Pd2I4Br3.

Values from the calculation:
Space-group type: C2/c (15)

Unit cell a=6.3058 b=11.1200 c=11.1200 alpha=111.43 beta=85.75 gamma=85.75
Atoms (fractional coordinates):
Pd 0.1910 0.5011 0.8523
I 0.0365 0.1924 0.3504
Br 0.6172 0.8360 0.0219
I 0.3790 0.8967 0.3725
Pd 0.3090 0.1477 0.4989
I 0.9635 0.8076 0.6496
Pd 0.8090 0.4989 0.1477
I 0.5365 0.3504 0.1924
Pd 0.6910 0.8523 0.5011
I 0.6210 0.1033 0.6275
Br 0.8828 0.9781 0.1640
Br 0.1172 0.0219 0.8360
I 0.8790 0.3725 0.8967
Br 0.2500 0.3910 0.6090
I 0.1210 0.6275 0.1033
Br 0.7500 0.6090 0.3910
Br 0.3828 0.1640 0.9781
I 0.4635 0.6496 0.8076

---

Entry 2:
The following is a DFT calculation (PBE) of a relaxed structure of PdI3Br.

Values from the calculation:
Space-group type: Pm-3m (221)

Unit cell a=5.8860 b=5.8860 c=5.8860 alpha=90.00 beta=90.00 gamma=90.00
Site moments in Bohr magnetons follow the coordinates.
Atoms (fractional coordinates):
Br 0.0000 0.0000 0.0000  0.01
I 0.0000 0.0000 0.5000  -0.01
I 0.5000 0.0000 0.0000  -0.02
Pd 0.5000 0.5000 0.5000  -0.51
I 0.0000 0.5000 0.0000  -0.03

---

Number 1: ΔE_f (raw) -90 meV per atom. Number 2: ΔE_f (raw) 775 meV per atom.